PmPrSnRh | GGA-PBE | optimized geometry

Cell lengths 5.2766, 5.2766, 5.2766 Å; angles 60.00, 60.00, 60.00 degrees
Last column: nearest neighbours and their distance in Å.
Fractional positions:
Pm: 0.0000 0.0000 0.0000  4 Sn 3.23, 4 Rh 3.23
Pr: 0.5000 0.5000 0.5000  4 Sn 3.23, 4 Rh 3.23
Sn: 0.7500 0.7500 0.7500  4 Pr 3.23, 4 Pm 3.23
Rh: 0.2500 0.2500 0.2500  4 Pr 3.23, 4 Pm 3.23

Output
Energy relative to the elements = -0.547 eV/atom

---

HgPdRh2 | GGA-PBE | optimized geometry

Cell lengths 5.8021, 5.8021, 5.8021 Å; angles 102.38, 102.38, 124.84 degrees
Last column: nearest neighbours and their distance in Å.
Fractional positions:
Hg: 0.0000 0.0000 0.0000  2 Pd 2.69, 4 Rh 2.75
Hg: 0.7500 0.2500 0.5000  2 Pd 2.69, 4 Rh 2.75
Pd: 0.2500 0.7500 0.5000  4 Rh 2.57, 2 Hg 2.69
Pd: 0.5000 0.5000 0.0000  4 Rh 2.57, 2 Hg 2.69
Rh: 0.1426 0.6250 0.0176  2 Pd 2.57, 2 Rh 2.70, 2 Hg 2.75
Rh: 0.3750 0.3926 0.5176  2 Pd 2.57, 2 Rh 2.70, 2 Hg 2.75
Rh: 0.6074 0.1250 0.9824  2 Pd 2.57, 2 Rh 2.70, 2 Hg 2.75
Rh: 0.8750 0.8574 0.4824  2 Pd 2.57, 2 Rh 2.70, 2 Hg 2.75

Output
Energy relative to the elements = 0.570 eV/atom

---

Ba2MgRe | GGA-PBE | optimized geometry

Cell lengths 5.8480, 5.8480, 3.8210 Å; angles 90.00, 90.00, 90.00 degrees
Last column: nearest neighbours and their distance in Å.
Fractional positions:
Ba: 0.0000 0.5000 0.0000  4 Re 3.49, 4 Mg 3.49, 2 Ba 3.82
Ba: 0.5000 0.0000 0.0000  4 Re 3.49, 4 Mg 3.49, 2 Ba 3.82
Mg: 0.0000 0.0000 0.5000  8 Ba 3.49, 2 Mg 3.82
Re: 0.5000 0.5000 0.5000  8 Ba 3.49, 2 Re 3.82

Output
Energy relative to the elements = 0.949 eV/atom

---

BC5 | GGA-PBE | optimized geometry

Cell lengths 5.8533, 5.8533, 5.1541 Å; angles 102.70, 102.70, 24.89 degrees
Last column: nearest neighbours and their distance in Å.
Fractional positions:
B: 0.2051 0.2051 0.2268  4 C 1.62-1.66
B: 0.7949 0.7949 0.7732  4 C 1.62-1.66
C: 0.1198 0.1198 0.9292  3 C 1.52-1.55, 1 B 1.62
C: 0.1210 0.1210 0.4413  3 C 1.52-1.54, 1 B 1.62
C: 0.1973 0.1973 0.7248  2 C 1.52, 2 B 1.66
C: 0.4586 0.4586 0.6031  4 C 1.54-1.57
C: 0.4604 0.4604 0.1064  4 C 1.55-1.57
C: 0.5396 0.5396 0.8936  4 C 1.55-1.57
C: 0.5414 0.5414 0.3969  4 C 1.54-1.57
C: 0.8027 0.8027 0.2752  2 C 1.52, 2 B 1.66
C: 0.8790 0.8790 0.5587  3 C 1.52-1.54, 1 B 1.62
C: 0.8802 0.8802 0.0708  3 C 1.52-1.55, 1 B 1.62

Output
Energy relative to the elements = 0.247 eV/atom

---

KWSe2 | GGA-PBE | optimized geometry

Cell lengths 3.1002, 3.1002, 10.2491 Å; angles 90.00, 90.00, 90.00 degrees
Last column: nearest neighbours and their distance in Å.
Fractional positions:
K: 0.0000 0.0000 0.0000  4 K 3.10, 4 Se 3.27
W: 0.5000 0.5000 0.6913  4 Se 2.56
Se: 0.0000 0.0000 0.5619  4 W 2.56
Se: 0.5000 0.5000 0.2367  4 Se 3.10, 4 K 3.27

Output
Formation energy (no corrections) = 0.299 eV per atom

---

FePdI6 | GGA-PBE | optimized geometry

Cell lengths 7.4262, 7.4262, 7.7789 Å; angles 101.48, 101.48, 119.65 degrees
Last column: nearest neighbours and their distance in Å.
Fractional positions:
Fe: 0.0000 0.0000 0.0000  6 I 2.73-2.80
Pd: 0.0000 0.0000 0.5000  4 I 2.63
I: 0.0907 0.8011 0.7147  1 Pd 2.63, 1 Fe 2.80
I: 0.1989 0.9093 0.2853  1 Pd 2.63, 1 Fe 2.80
I: 0.3965 0.3965 0.1251  1 Fe 2.73, 1 I 2.93
I: 0.6035 0.6035 0.8749  1 Fe 2.73, 1 I 2.93
I: 0.8011 0.0907 0.7147  1 Pd 2.63, 1 Fe 2.80
I: 0.9093 0.1989 0.2853  1 Pd 2.63, 1 Fe 2.80

Output
Formation energy (no corrections) = -0.082 eV per atom

---

NdPa2Mo | GGA-PBE | optimized geometry

Cell lengths 3.4197, 3.4197, 8.6250 Å; angles 90.00, 90.00, 90.00 degrees
Last column: nearest neighbours and their distance in Å.
Fractional positions:
Nd: 0.0000 0.0000 0.0000  4 Nd 3.42, 8 Pa 3.53
Pa: 0.5000 0.5000 0.2980  4 Mo 2.98
Pa: 0.5000 0.5000 0.7020  4 Mo 2.98
Mo: 0.0000 0.0000 0.5000  8 Pa 2.98

Output
Energy relative to the elements = 0.230 eV/atom

---

Cs3NbCl6 | GGA-PBE | optimized geometry

Cell lengths 7.9996, 8.2491, 13.8213 Å; angles 90.00, 124.24, 90.00 degrees
Last column: nearest neighbours and their distance in Å.
Fractional positions:
Cs: 0.0000 0.0000 0.0000  6 Cl 3.39-3.44
Cs: 0.0000 0.5000 0.5000  6 Cl 3.39-3.44
Cs: 0.2726 0.0618 0.7540  6 Cl 3.52-3.78
Cs: 0.2726 0.4382 0.2540  6 Cl 3.52-3.78
Cs: 0.7274 0.5618 0.7460  6 Cl 3.52-3.78
Cs: 0.7274 0.9382 0.2460  6 Cl 3.52-3.78
Nb: 0.5000 0.0000 0.5000  6 Cl 2.52-2.53
Nb: 0.5000 0.5000 0.0000  6 Cl 2.52-2.53
Cl: 0.2010 0.0241 0.2906  1 Nb 2.52
Cl: 0.2010 0.4759 0.7906  1 Nb 2.52
Cl: 0.2907 0.6699 0.0458  1 Nb 2.52
Cl: 0.2907 0.8301 0.5458  1 Nb 2.52
Cl: 0.3892 0.2452 0.0506  1 Nb 2.53
Cl: 0.3892 0.2548 0.5506  1 Nb 2.53
Cl: 0.6108 0.7452 0.4494  1 Nb 2.53
Cl: 0.6108 0.7548 0.9494  1 Nb 2.53
Cl: 0.7093 0.1699 0.4542  1 Nb 2.52
Cl: 0.7093 0.3301 0.9542  1 Nb 2.52
Cl: 0.7990 0.5241 0.2094  1 Nb 2.52
Cl: 0.7990 0.9759 0.7094  1 Nb 2.52

Output
Formation energy (no corrections) = -1.671 eV per atom

---

| no. | D(E_F) (states/eV/cell) | E_tot (eV/atom) |
| --- | --- | --- |
| 1 | 3.0 | -5.768 |
| 2 | 15.4 | -4.479 |
| 3 | 3.7 | -3.523 |
| 4 | 2.7 | -8.552 |
| 5 | 2.1 | -4.956 |
| 6 | 3.2 | -2.951 |
| 7 | 8.4 | -8.417 |
| 8 | 22.1 | -4.042 |